Record 1
Computed, not measured: K2RbMg after structural relaxation at the PBE-GGA level of DFT.

Cell: 6.133 6.133 6.148 Å, 90.00 90.00 90.00°
Positions (direct):
K (0.000, 0.500, 0.000)
K (0.500, 0.000, 0.000)
Rb (0.000, 0.000, 0.500)
Mg (0.500, 0.500, 0.500)

Results
The calculation puts the formation energy from the elements at 0.16 eV per atom. Its space-group type is P4/mmm, No. 123.

***

Record 2
Computed, not measured: KRbMg6 after structural relaxation at the PBE-GGA level of DFT.

Cell: 5.059 8.715 8.715 Å, 44.54 90.00 90.00°
Positions (direct):
K (0.000, 0.000, 0.000)
Rb (0.000, 0.518, 0.518)
Mg (0.000, 0.001, 0.494)
Mg (0.000, 0.494, 0.001)
Mg (0.500, 0.113, 0.602)
Mg (0.500, 0.183, 0.183)
Mg (0.500, 0.602, 0.113)
Mg (0.500, 0.695, 0.695)

Results
The calculation puts the formation energy from the elements at 0.21 eV per atom. The energy above the most stable polymorph in this dataset is 0 meV/atom. Its space-group type is Amm2, No. 38.

***

Record 3
Computed, not measured: K2RbMg after structural relaxation at the PBE-GGA level of DFT.

Cell: 4.525 4.525 11.863 Å, 90.04 90.04 90.04°
Positions (direct):
K (0.000, 0.000, 0.000)
K (0.001, 0.001, 0.375)
Rb (0.499, 0.499, 0.688)
Mg (0.504, 0.504, 0.187)

Results
The calculation puts the formation energy from the elements at 0.14 eV per atom. Its space-group type is Cm, No. 8.

***

Record 4
Computed, not measured: K2Rb2Mg after structural relaxation at the PBE-GGA level of DFT.

Cell: 10.056 10.056 7.117 Å, 90.00 90.00 90.00°
Positions (direct):
K (0.175, 0.325, 0.000)
K (0.325, 0.825, 0.000)
K (0.675, 0.175, 0.000)
K (0.825, 0.675, 0.000)
Rb (0.150, 0.650, 0.500)
Rb (0.350, 0.150, 0.500)
Rb (0.650, 0.850, 0.500)
Rb (0.850, 0.350, 0.500)
Mg (0.000, 0.000, 0.500)
Mg (0.500, 0.500, 0.500)

Results
The calculation puts the formation energy from the elements at 0.21 eV per atom. The energy above the most stable polymorph in this dataset is 37 meV/atom. Its space-group type is P4/mbm, No. 127.

***

Record 5
Computed, not measured: K2Rb2Mg after structural relaxation at the PBE-GGA level of DFT.

Cell: 12.715 12.715 12.715 Å, 155.02 155.02 35.62°
Positions (direct):
K (0.250, 0.750, 0.500)
K (0.750, 0.250, 0.500)
Rb (0.087, 0.087, 0.000)
Rb (0.913, 0.913, 0.000)
Mg (0.500, 0.500, 0.000)

Results
The calculation puts the formation energy from the elements at 0.24 eV per atom. The energy above the most stable polymorph in this dataset is 73 meV/atom. Its space-group type is I4/mmm, No. 139.

***

Record 6
Computed, not measured: KRbMg6 after structural relaxation at the PBE-GGA level of DFT.

Cell: 5.091 7.911 7.911 Å, 66.55 90.00 90.00°
Positions (direct):
K (0.000, 0.000, 0.000)
Rb (0.500, 0.295, 0.295)
Mg (0.000, 0.511, 0.511)
Mg (0.000, 0.539, 0.899)
Mg (0.000, 0.899, 0.539)
Mg (0.500, 0.396, 0.759)
Mg (0.500, 0.759, 0.396)
Mg (0.500, 0.789, 0.789)

Results
The calculation puts the formation energy from the elements at 0.23 eV per atom. The energy above the most stable polymorph in this dataset is 17 meV/atom. Its space-group type is Amm2, No. 38.

***

Record 7
Computed, not measured: K2RbMg2 after structural relaxation at the PBE-GGA level of DFT.

Cell: 11.142 11.142 4.021 Å, 90.00 90.00 90.00°
Positions (direct):
K (0.129, 0.371, 0.000)
K (0.371, 0.871, 0.000)
K (0.629, 0.129, 0.000)
K (0.871, 0.629, 0.000)
Rb (0.000, 0.000, 0.000)
Rb (0.500, 0.500, 0.000)
Mg (0.167, 0.667, 0.500)
Mg (0.333, 0.167, 0.500)
Mg (0.667, 0.833, 0.500)
Mg (0.833, 0.333, 0.500)

Results
The calculation puts the formation energy from the elements at 0.23 eV per atom. The energy above the most stable polymorph in this dataset is 59 meV/atom. Its space-group type is P4/mbm, No. 127.

***

Record 8
Computed, not measured: KRbMg2 after structural relaxation at the PBE-GGA level of DFT.

Cell: 8.141 8.141 8.141 Å, 101.07 101.07 128.02°
Positions (direct):
K (0.000, 0.000, 0.000)
K (0.750, 0.250, 0.500)
Rb (0.250, 0.750, 0.500)
Rb (0.500, 0.500, 0.000)
Mg (0.117, 0.125, 0.492)
Mg (0.375, 0.883, 0.008)
Mg (0.633, 0.625, 0.508)
Mg (0.875, 0.367, 0.992)

Results
The calculation puts the formation energy from the elements at 0.37 eV per atom. The energy above the most stable polymorph in this dataset is 80 meV/atom. Its space-group type is I-42d, No. 122.

***

Record 9
Computed, not measured: K2Rb2Mg after structural relaxation at the PBE-GGA level of DFT.

Cell: 9.775 9.775 7.244 Å, 90.00 90.00 90.00°
Positions (direct):
K (0.149, 0.351, 0.000)
K (0.351, 0.851, 0.000)
K (0.649, 0.149, 0.000)
K (0.851, 0.649, 0.000)
Rb (0.182, 0.682, 0.500)
Rb (0.318, 0.182, 0.500)
Rb (0.682, 0.818, 0.500)
Rb (0.818, 0.318, 0.500)
Mg (0.000, 0.000, 0.000)
Mg (0.500, 0.500, 0.000)

Results
The calculation puts the formation energy from the elements at 0.17 eV per atom. The energy above the most stable polymorph in this dataset is 0 meV/atom. Its space-group type is P4/mbm, No. 127.

***

Record 10
Computed, not measured: KRb2Mg2 after structural relaxation at the PBE-GGA level of DFT.

Cell: 9.939 9.939 5.653 Å, 90.00 90.00 90.00°
Positions (direct):
K (0.000, 0.000, 0.000)
K (0.500, 0.500, 0.000)
Rb (0.175, 0.325, 0.500)
Rb (0.325, 0.825, 0.500)
Rb (0.675, 0.175, 0.500)
Rb (0.825, 0.675, 0.500)
Mg (0.111, 0.611, 0.000)
Mg (0.389, 0.111, 0.000)
Mg (0.611, 0.889, 0.000)
Mg (0.889, 0.389, 0.000)

Results
The calculation puts the formation energy from the elements at 0.21 eV per atom. The energy above the most stable polymorph in this dataset is 27 meV/atom. Its space-group type is P4/mbm, No. 127.

***

Record 11
Computed, not measured: K7Rb12Mg after structural relaxation at the PBE-GGA level of DFT.

Cell: 15.312 15.312 15.312 Å, 116.63 116.63 116.63°
Positions (direct):
K (0.000, 0.000, 0.000)
K (0.176, 0.403, 0.403)
K (0.403, 0.176, 0.403)
K (0.403, 0.403, 0.176)
K (0.597, 0.597, 0.824)
K (0.597, 0.824, 0.597)
K (0.824, 0.597, 0.597)
Rb (0.000, 0.410, 0.590)
Rb (0.000, 0.590, 0.410)
Rb (0.050, 0.050, 0.395)
Rb (0.050, 0.395, 0.050)
Rb (0.395, 0.050, 0.050)
Rb (0.410, 0.000, 0.590)
Rb (0.410, 0.590, 0.000)
Rb (0.590, 0.000, 0.410)
Rb (0.590, 0.410, 0.000)
Rb (0.605, 0.950, 0.950)
Rb (0.950, 0.605, 0.950)
Rb (0.950, 0.950, 0.605)
Mg (0.500, 0.500, 0.500)

Results
The calculation puts the formation energy from the elements at 0.06 eV per atom. Its space-group type is R-3m, No. 166.

***

Record 12
Computed, not measured: K3RbMg after structural relaxation at the PBE-GGA level of DFT.

Cell: 7.820 7.820 7.820 Å, 90.00 90.00 90.00°
Positions (direct):
K (0.000, 0.000, 0.500)
K (0.000, 0.500, 0.000)
K (0.500, 0.000, 0.000)
Rb (0.000, 0.000, 0.000)
Mg (0.500, 0.500, 0.500)

Results
The calculation puts the formation energy from the elements at 0.51 eV per atom. The energy above the most stable polymorph in this dataset is 327 meV/atom. Its space-group type is Pm-3m, No. 221.

***

DFT total energy across the listed records, respectively: -4.1 -9.9 -4.2 -9.4 -4.5 -9.8 -10.4 -7.5 -9.7 -10.4 -19.6 -3.3 eV/cell.
DOS at the Fermi energy across the listed records, respectively: 0.45 0.55 0.81 0.84 0.69 0.67 0.74 0.64 0.84 0.90 0.96 1.13 states/eV/atom.